Record 1
Here is an optimized crystal structure of Tl2SbP from the Alexandria database. Energies are from GGA-PBE.

a b c (Å): 6.0537 6.0537 3.2537
angles (deg): 90.00 90.00 116.76
Positions (direct):
Tl (0.0000, 0.5000, 0.0000)
Tl (0.5000, 0.0000, 0.0000)
Sb (0.0000, 0.0000, 0.5000)
P (0.5000, 0.5000, 0.5000)

energy relative to the elements, uncorrected	346.7	meV per atom
total DFT energy (no corrections)	-12.88	eV/f.u.
offset from the most stable computed form	268	meV per atom
total magnetic moment	0.00	μB per formula unit

---

Record 2
Here is an optimized crystal structure of AgP7 from the Alexandria database. Energies are from GGA-PBE.

a b c (Å): 5.6099 5.6099 5.6099
angles (deg): 60.00 60.00 60.00
Positions (direct):
Ag (0.0000, 0.0000, 0.0000)
P (0.5000, 0.5000, 0.0000)
P (0.5000, 0.0000, 0.5000)
P (0.5000, 0.0000, 0.0000)
P (0.0000, 0.0000, 0.5000)
P (0.0000, 0.5000, 0.0000)
P (0.0000, 0.5000, 0.5000)
P (0.5000, 0.5000, 0.5000)

energy of formation from the pure elements	874	meV/atom
total DFT energy (no corrections)	-33.73	eV/f.u.
total magnetic moment	0.00	μB per formula unit

---

Record 3
Here is an optimized crystal structure of TaBi3Pd12 from the Alexandria database. Energies are from GGA-PBE.

a b c (Å): 4.0723 4.0723 16.6677
angles (deg): 90.00 90.00 90.00
Positions (direct):
Ta (0.0000, 0.0000, 0.0000)
Bi (0.0000, 0.0000, 0.2492)
Bi (0.0000, 0.0000, 0.5000)
Bi (0.0000, 0.0000, 0.7508)
Pd (0.5000, 0.5000, 0.0000)
Pd (0.5000, 0.5000, 0.2390)
Pd (0.5000, 0.5000, 0.5000)
Pd (0.5000, 0.5000, 0.7610)
Pd (0.5000, 0.0000, 0.1112)
Pd (0.5000, 0.0000, 0.3722)
Pd (0.5000, 0.0000, 0.6278)
Pd (0.5000, 0.0000, 0.8888)
Pd (0.0000, 0.5000, 0.1112)
Pd (0.0000, 0.5000, 0.3722)
Pd (0.0000, 0.5000, 0.6278)
Pd (0.0000, 0.5000, 0.8888)

energy of formation from the pure elements	-285	meV/atom
total DFT energy (no corrections)	-90.38	eV/f.u.
total magnetic moment	0.00	μB per formula unit

---

Record 4
Here is an optimized crystal structure of Ca3LaZn4 from the Alexandria database. Energies are from GGA-PBE.

a b c (Å): 5.2774 7.2854 10.5554
angles (deg): 90.00 90.00 90.00
Positions (direct):
Ca (0.0000, 0.0000, 0.0000)
Ca (0.0000, 0.0000, 0.5000)
Ca (0.5004, 0.0000, 0.7500)
Ca (0.4996, 0.0000, 0.2500)
Ca (0.5000, 0.5000, 0.7500)
Ca (0.5000, 0.5000, 0.2500)
Zn (0.5000, 0.7494, 0.0000)
Zn (0.5000, 0.7494, 0.5000)
Zn (0.5000, 0.2506, 0.0000)
Zn (0.5000, 0.2506, 0.5000)
Zn (0.0003, 0.7494, 0.7500)
Zn (0.9997, 0.7494, 0.2500)
Zn (0.9997, 0.2506, 0.2500)
Zn (0.0003, 0.2506, 0.7500)
La (0.0000, 0.5000, 0.0000)
La (0.0000, 0.5000, 0.5000)

energy of formation from the pure elements	-267	meV/atom
total DFT energy (no corrections)	-18.16	eV/f.u.
total magnetic moment	0.00	μB per formula unit

---

Record 5
Here is an optimized crystal structure of Pm3CdAu4 from the Alexandria database. Energies are from GGA-PBE.

a b c (Å): 5.0690 7.4351 10.1386
angles (deg): 90.00 90.00 90.00
Positions (direct):
Cd (0.0000, 0.5000, 0.0000)
Cd (0.0000, 0.5000, 0.5000)
Au (0.5000, 0.7511, 0.0000)
Au (0.5000, 0.7511, 0.5000)
Au (0.5000, 0.2489, 0.0000)
Au (0.5000, 0.2489, 0.5000)
Au (0.0000, 0.7512, 0.7500)
Au (0.0000, 0.7512, 0.2500)
Au (0.0000, 0.2488, 0.2500)
Au (0.0000, 0.2488, 0.7500)
Pm (0.0000, 0.0000, 0.0000)
Pm (0.0000, 0.0000, 0.5000)
Pm (0.5002, 0.0000, 0.7500)
Pm (0.4998, 0.0000, 0.2500)
Pm (0.5000, 0.5000, 0.7500)
Pm (0.5000, 0.5000, 0.2500)

energy of formation from the pure elements	-692	meV/atom
total DFT energy (no corrections)	-33.81	eV/f.u.
offset from the most stable computed form	0	meV per atom
total magnetic moment	0.00	μB per formula unit

---

Record 6
Here is an optimized crystal structure of PmNpAl2Ga5 from the Alexandria database. Energies are from GGA-PBE.

a b c (Å): 4.2504 4.2504 10.0051
angles (deg): 90.00 90.00 90.00
Site moments in Bohr magnetons follow the coordinates.
Positions (direct):
Pm (0.0000, 0.0000, 0.5000)  -0.04
Np (0.0000, 0.0000, 0.0000)  3.93
Al (0.5000, 0.5000, 0.1216)  -0.01
Al (0.5000, 0.5000, 0.8784)  -0.01
Ga (0.0000, 0.5000, 0.2713)  -0.02
Ga (0.5000, 0.0000, 0.2713)  -0.02
Ga (0.0000, 0.5000, 0.7287)  -0.02
Ga (0.5000, 0.0000, 0.7287)  -0.02
Ga (0.5000, 0.5000, 0.5000)  0.00

energy of formation from the pure elements	-239	meV/atom
total DFT energy (no corrections)	-42.46	eV/f.u.
total magnetic moment	4.09	μB per formula unit

---

Record 7
Here is an optimized crystal structure of YAsPSe2 from the Alexandria database. Energies are from GGA-PBE.

a b c (Å): 4.9134 4.9134 4.6955
angles (deg): 90.00 90.00 90.00
Positions (direct):
Y (0.5000, 0.5000, 0.5000)
P (0.0000, 0.0000, 0.0000)
As (0.0000, 0.0000, 0.5000)
Se (0.0000, 0.5000, 0.0000)
Se (0.5000, 0.0000, 0.0000)

energy relative to the elements, uncorrected	-287.5	meV per atom
total DFT energy (no corrections)	-24.93	eV/f.u.
offset from the most stable computed form	0	meV per atom
total magnetic moment	0.00	μB per formula unit

---

Record 8
Here is an optimized crystal structure of Cs14RbPd from the Alexandria database. Energies are from GGA-PBE.

a b c (Å): 10.8156 10.8156 14.3344
angles (deg): 90.00 90.00 102.83
Positions (direct):
Cs (0.3937, 0.6063, 0.5000)
Cs (0.9129, 0.0871, 0.5000)
Cs (0.8725, 0.6053, 0.0000)
Cs (0.8762, 0.5697, 0.5000)
Cs (0.3947, 0.1275, 0.0000)
Cs (0.4303, 0.1238, 0.5000)
Cs (0.6958, 0.9652, 0.8303)
Cs (0.6958, 0.9652, 0.1697)
Cs (0.0348, 0.3042, 0.8303)
Cs (0.0348, 0.3042, 0.1697)
Cs (0.1624, 0.8376, 0.7459)
Cs (0.1624, 0.8376, 0.2541)
Cs (0.6099, 0.3901, 0.7881)
Cs (0.6099, 0.3901, 0.2119)
Rb (0.3752, 0.6248, 0.0000)
Pd (0.7386, 0.2614, 0.0000)

energy of formation from the pure elements	42	meV/atom
total DFT energy (no corrections)	-17.44	eV/f.u.
total magnetic moment	0.00	μB per formula unit

---

Record 9
Here is an optimized crystal structure of La2MnCd from the Alexandria database. Energies are from GGA-PBE.

a b c (Å): 9.2685 9.2685 9.2685
angles (deg): 24.28 24.28 24.28
Site moments in Bohr magnetons follow the coordinates.
Positions (direct):
Cd (0.7500, 0.7500, 0.7500)  -0.01
La (0.9880, 0.9880, 0.9880)  -0.18
La (0.5120, 0.5120, 0.5120)  -0.18
Mn (0.2500, 0.2500, 0.2500)  2.97

energy of formation from the pure elements	192	meV/atom
total DFT energy (no corrections)	-19.17	eV/f.u.
total magnetic moment	2.22	μB per formula unit

---

Record 10
Here is an optimized crystal structure of RbLi2CeCl8 from the Alexandria database. Energies are from GGA-PBE.

a b c (Å): 7.1208 5.6886 9.3563
angles (deg): 99.68 90.02 68.71
Positions (direct):
Rb (0.0000, 0.0000, 0.5000)
Li (0.4103, 0.3454, 0.7577)
Li (0.5897, 0.6546, 0.2423)
Ce (0.0000, 0.0000, 0.0000)
Cl (0.2649, 0.6832, 0.1452)
Cl (0.6962, 0.9338, 0.1196)
Cl (0.9413, 0.3564, 0.2375)
Cl (0.7351, 0.3168, 0.8548)
Cl (0.3038, 0.0662, 0.8804)
Cl (0.0587, 0.6436, 0.7625)
Cl (0.5056, 0.7487, 0.4988)
Cl (0.4944, 0.2513, 0.5012)

energy relative to the elements, uncorrected	-1693.3	meV per atom
total DFT energy (no corrections)	-45.82	eV/f.u.
total magnetic moment	0.00	μB per formula unit